A plane-wave DFT calculation with PBE was carried out for a geometry-optimized MgSc2In structure.

As for the formation energy: 63 kJ/mol of formula units.

The space group is I-42d (No. 122) and the conventional cell measures 8.029, 8.029 and 6.201 Å, with angles of 90.00, 90.00 and 90.00 degrees. The distinct sites, in fractional coordinates, are Mg at (0.000, 0.000, 0.000), Sc at (0.243, 0.250, 0.625) and In at (0.000, 0.000, 0.500).